VASP calculation (PBE) on a geometry-optimized LaPr4Mg5 structure.

Cell: 3.918 3.918 19.669 Å, 90.00 90.00 90.00°
Element x y z (fractional)
La 0.000 0.000 0.000
Pr 0.000 0.000 0.202
Pr 0.000 0.000 0.401
Pr 0.000 0.000 0.599
Pr 0.000 0.000 0.798
Mg 0.500 0.500 0.103
Mg 0.500 0.500 0.301
Mg 0.500 0.500 0.500
Mg 0.500 0.500 0.699
Mg 0.500 0.500 0.897

N(E_F) = 1.089 states/eV/atom
magnetization = 0.00 μB/f.u.
calculated formation energy = -115 meV per atom

---

VASP calculation (PBE) on a geometry-optimized RbScPb2I8 structure.

Cell: 7.275 7.719 9.800 Å, 89.96 89.88 88.28°
Element x y z (fractional)
Rb 0.000 0.000 0.000
Sc 0.000 0.000 0.500
Pb 0.500 0.500 0.256
Pb 0.500 0.500 0.744
I 0.225 0.317 0.500
I 0.241 0.851 0.706
I 0.242 0.852 0.293
I 0.267 0.376 0.000
I 0.733 0.624 0.000
I 0.758 0.148 0.707
I 0.759 0.149 0.294
I 0.775 0.683 0.500

N(E_F) = 0.000 states/eV/atom
magnetization = 0.00 μB/f.u.
formation energy without anion corrections = -0.92 eV/atom

---

Q: The highest N(E_F) belongs to which entry?
A: LaPr4Mg5